1.
# AcSn3S6 (PBE-GGA, relaxed)
data_AcSn3S6
_space_group_name_H-M_alt 'P 1'
_space_group_IT_number 1
_cell_length_a 4.060
_cell_length_b 12.650
_cell_length_c 11.631
_cell_angle_alpha 121.67
_cell_angle_beta 90.00
_cell_angle_gamma 90.00
loop_
_space_group_symop_operation_xyz
'x,y,z'
loop_
_atom_site_label
_atom_site_type_symbol
_atom_site_fract_x
_atom_site_fract_y
_atom_site_fract_z
S1 S 0.250 0.667 0.927
Ac1 Ac 0.750 0.085 0.740
S2 S 0.750 0.723 0.225
S3 S 0.250 0.906 0.525
Sn1 Sn 0.250 0.488 0.118
Sn2 Sn 0.250 0.270 0.555
Sn3 Sn 0.750 0.730 0.445
S4 S 0.250 0.072 0.929
S5 S 0.250 0.576 0.381
Sn4 Sn 0.250 0.839 0.864
S6 S 0.750 0.799 0.699
Sn5 Sn 0.750 0.512 0.882
Ac2 Ac 0.250 0.915 0.260
S7 S 0.250 0.277 0.775
S8 S 0.750 0.333 0.073
S9 S 0.750 0.928 0.071
Sn6 Sn 0.750 0.161 0.136
S10 S 0.750 0.094 0.475
S11 S 0.250 0.201 0.301
S12 S 0.750 0.424 0.619
# total magnetization = 0.000 μB/cell
# formation energy from raw total energies = -789 meV/atom
# DFT total energy = -4.88 eV per atom

2.
# BeN3Cl (PBE-GGA, relaxed)
data_BeN3Cl
_space_group_name_H-M_alt 'P 1'
_space_group_IT_number 1
_cell_length_a 3.608
_cell_length_b 3.608
_cell_length_c 3.608
_cell_angle_alpha 90.00
_cell_angle_beta 90.00
_cell_angle_gamma 90.00
loop_
_space_group_symop_operation_xyz
'x,y,z'
loop_
_atom_site_label
_atom_site_type_symbol
_atom_site_fract_x
_atom_site_fract_y
_atom_site_fract_z
N1 N 0.000 0.500 0.000
N2 N 0.000 0.000 0.500
Cl1 Cl 0.000 0.000 0.000
Be1 Be 0.500 0.500 0.500
N3 N 0.500 0.000 0.000
# total magnetization = 0.000 μB/cell
# formation energy from raw total energies = 2879 meV/atom
# DFT total energy = -3.23 eV per atom

3.
# SbOsO5 (PBE-GGA, relaxed)
data_SbOsO5
_space_group_name_H-M_alt 'P 1'
_space_group_IT_number 1
_cell_length_a 3.751
_cell_length_b 5.484
_cell_length_c 5.484
_cell_angle_alpha 72.39
_cell_angle_beta 70.00
_cell_angle_gamma 70.00
loop_
_space_group_symop_operation_xyz
'x,y,z'
loop_
_atom_site_label
_atom_site_type_symbol
_atom_site_fract_x
_atom_site_fract_y
_atom_site_fract_z
Os1 Os 0.000 0.000 0.000
Sb1 Sb 0.500 0.500 0.500
O1 O 0.229 0.771 0.771
O2 O 0.000 0.304 0.696
O3 O 0.500 0.000 0.000
O4 O 0.771 0.229 0.229
O5 O 0.000 0.696 0.304
# total magnetization = 0.174 μB/cell
# formation energy from raw total energies = -967 meV/atom
# DFT total energy = -6.70 eV per atom

4.
# ScAlCl2 (PBE-GGA, relaxed)
data_ScAlCl2
_space_group_name_H-M_alt 'P 1'
_space_group_IT_number 1
_cell_length_a 4.288
_cell_length_b 4.417
_cell_length_c 4.417
_cell_angle_alpha 90.00
_cell_angle_beta 90.00
_cell_angle_gamma 90.00
loop_
_space_group_symop_operation_xyz
'x,y,z'
loop_
_atom_site_label
_atom_site_type_symbol
_atom_site_fract_x
_atom_site_fract_y
_atom_site_fract_z
Sc1 Sc 0.500 0.500 0.000
Al1 Al 0.500 0.000 0.500
Cl1 Cl 0.000 0.000 0.000
Cl2 Cl 0.000 0.500 0.500
# total magnetization = 0.655 μB/cell
# formation energy from raw total energies = -503 meV/atom
# energy relative to the lowest polymorph listed for this composition = 12.18 kcal/mol of atoms
# DFT total energy = -3.94 eV per atom